This record from the Alexandria database describes a relaxed structure of Y2HfTi. The functional is PBE.

It has space group I-42d (No. 122), with a = 8.194 Å, b = 8.194 Å, c = 6.240 Å, α = 90.00°, β = 90.00° and γ = 90.00°. The distinct sites, in fractional coordinates, are Y at (0.228, 0.250, 0.125), Hf at (0.000, 0.000, 0.500) and Ti at (0.000, 0.000, 0.000).

Its crystal system is tetragonal. The energy above the lowest structure with this stoichiometry is 302 meV per atom. The calculation puts the magnetization at 0.48 μB per atom.